Computed, not measured: Nd2Dy2Te5 after structural relaxation at the PBE-GGA level of DFT.

The calculation puts the energy relative to the elements, uncorrected at -1.33 eV per atom. The calculation puts the offset from the most stable computed form at 0.0 meV per atom.

abc: 16.0006 8.2694 8.2607
angles: 90.00 90.00 90.00
Space group Cmce (No. 64)
Inequivalent atoms, fractional coordinates:
Nd1 0.1975 0.0000 0.0000 x8
Dy1 0.0000 0.1455 0.3502 x8
Te1 0.0000 0.0000 0.0000 x4
Te2 0.1364 0.1592 0.6558 x16